i.
# EuLuZr (PBE, relaxed)
# total magnetic moment = 14.47 μB per cell
data_EuLuZr
_symmetry_space_group_name_H-M 'I 4 m m'
_symmetry_Int_Tables_number 107
_symmetry_space_group_name_Hall 'I 4 -2'
_cell_length_a 3.401
_cell_length_b 3.401
_cell_length_c 15.240
_cell_angle_alpha 90.00
_cell_angle_beta 90.00
_cell_angle_gamma 90.00
loop_
_atom_site_label
_atom_site_type_symbol
_atom_site_fract_x
_atom_site_fract_y
_atom_site_fract_z
_atom_site_occupancy
Eu1 Eu 0.000 0.000 0.000 1
Lu1 Lu 0.000 0.000 0.691 1
Zr1 Zr 0.000 0.000 0.330 1

***

ii.
# EuLuZr (PBE, relaxed)
# total magnetic moment = 7.50 μB per cell
data_EuLuZr
_symmetry_space_group_name_H-M 'P 3 m 1'
_symmetry_Int_Tables_number 156
_symmetry_space_group_name_Hall 'P 3 -2"'
_cell_length_a 3.4286
_cell_length_b 3.4286
_cell_length_c 8.5871
_cell_angle_alpha 90.00
_cell_angle_beta 90.00
_cell_angle_gamma 120.00
loop_
_atom_site_label
_atom_site_type_symbol
_atom_site_fract_x
_atom_site_fract_y
_atom_site_fract_z
_atom_site_occupancy
Eu1 Eu 0.0000 0.0000 0.0000 1
Lu1 Lu 0.3333 0.6667 0.6262 1
Zr1 Zr 0.6667 0.3333 0.3328 1

***

Pick i: it beats the second-best structure by 19 meV/atom.

***

i.
# NdEu2Mg (PBE, relaxed)
# total magnetic moment = 15.52 μB per cell
data_NdEu2Mg
_symmetry_space_group_name_H-M 'P 4/m m m'
_symmetry_Int_Tables_number 123
_symmetry_space_group_name_Hall '-P 4 2'
_cell_length_a 5.154
_cell_length_b 5.154
_cell_length_c 5.246
_cell_angle_alpha 90.00
_cell_angle_beta 90.00
_cell_angle_gamma 90.00
loop_
_atom_site_label
_atom_site_type_symbol
_atom_site_fract_x
_atom_site_fract_y
_atom_site_fract_z
_atom_site_occupancy
Nd1 Nd 0.000 0.000 0.000 1
Eu1 Eu 0.000 0.500 0.500 1
Mg1 Mg 0.500 0.500 0.000 1

***

ii.
# NdEu2Mg (PBE, relaxed)
# total magnetic moment = 14.69 μB per cell
data_NdEu2Mg
_symmetry_space_group_name_H-M 'P 4/m m m'
_symmetry_Int_Tables_number 123
_symmetry_space_group_name_Hall '-P 4 2'
_cell_length_a 3.731
_cell_length_b 3.731
_cell_length_c 10.097
_cell_angle_alpha 90.00
_cell_angle_beta 90.00
_cell_angle_gamma 90.00
loop_
_atom_site_label
_atom_site_type_symbol
_atom_site_fract_x
_atom_site_fract_y
_atom_site_fract_z
_atom_site_occupancy
Nd1 Nd 0.000 0.000 0.000 1
Eu1 Eu 0.500 0.500 0.272 1
Mg1 Mg 0.000 0.000 0.500 1

***

Pick ii: it beats the second-best structure by 37 meV/atom.

***

i.
# NdEuMg (PBE, relaxed)
# total magnetic moment = 14.66 μB per cell
data_NdEuMg
_symmetry_space_group_name_H-M 'I 4 m m'
_symmetry_Int_Tables_number 107
_symmetry_space_group_name_Hall 'I 4 -2'
_cell_length_a 3.872
_cell_length_b 3.872
_cell_length_c 13.333
_cell_angle_alpha 90.00
_cell_angle_beta 90.00
_cell_angle_gamma 90.00
loop_
_atom_site_label
_atom_site_type_symbol
_atom_site_fract_x
_atom_site_fract_y
_atom_site_fract_z
_atom_site_occupancy
Nd1 Nd 0.000 0.000 0.000 1
Eu1 Eu 0.000 0.000 0.699 1
Mg1 Mg 0.000 0.000 0.357 1

***

ii.
# NdEuMg (PBE, relaxed)
# total magnetic moment = 7.32 μB per cell
data_NdEuMg
_symmetry_space_group_name_H-M 'P 3 m 1'
_symmetry_Int_Tables_number 156
_symmetry_space_group_name_Hall 'P 3 -2"'
_cell_length_a 5.6739
_cell_length_b 5.6739
_cell_length_c 3.4908
_cell_angle_alpha 90.00
_cell_angle_beta 90.00
_cell_angle_gamma 120.00
loop_
_atom_site_label
_atom_site_type_symbol
_atom_site_fract_x
_atom_site_fract_y
_atom_site_fract_z
_atom_site_occupancy
Nd1 Nd 0.0000 0.0000 0.0000 1
Eu1 Eu 0.6667 0.3333 0.3948 1
Mg1 Mg 0.3333 0.6667 0.6700 1

***

Pick i: it beats the second-best structure by 76 meV/atom.

***

i.
# Eu2MgNi (PBE, relaxed)
# total magnetic moment = 14.54 μB per cell
data_Eu2MgNi
_symmetry_space_group_name_H-M 'P 4/m m m'
_symmetry_Int_Tables_number 123
_symmetry_space_group_name_Hall '-P 4 2'
_cell_length_a 3.566
_cell_length_b 3.566
_cell_length_c 8.358
_cell_angle_alpha 90.00
_cell_angle_beta 90.00
_cell_angle_gamma 90.00
loop_
_atom_site_label
_atom_site_type_symbol
_atom_site_fract_x
_atom_site_fract_y
_atom_site_fract_z
_atom_site_occupancy
Eu1 Eu 0.000 0.000 0.203 1
Mg1 Mg 0.500 0.500 0.500 1
Ni1 Ni 0.500 0.500 0.000 1

***

ii.
# Eu2MgNi (PBE, relaxed)
# total magnetic moment = 58.05 μB per cell
data_Eu2MgNi
_symmetry_space_group_name_H-M 'F m -3 m'
_symmetry_Int_Tables_number 225
_symmetry_space_group_name_Hall '-F 4 2 3'
_cell_length_a 7.486
_cell_length_b 7.486
_cell_length_c 7.486
_cell_angle_alpha 90.00
_cell_angle_beta 90.00
_cell_angle_gamma 90.00
loop_
_atom_site_label
_atom_site_type_symbol
_atom_site_fract_x
_atom_site_fract_y
_atom_site_fract_z
_atom_site_occupancy
Eu1 Eu 0.250 0.250 0.250 1
Mg1 Mg 0.000 0.000 0.000 1
Ni1 Ni 0.000 0.000 0.500 1

***

Pick i: it beats the second-best structure by 105 meV/atom.

***

i.
# Pm2EuMg (PBE, relaxed)
# total magnetic moment = 24.18 μB per cell
data_Pm2EuMg
_symmetry_space_group_name_H-M 'R -3 m'
_symmetry_Int_Tables_number 166
_symmetry_space_group_name_Hall '-R 3 2"'
_cell_length_a 3.5357
_cell_length_b 3.5357
_cell_length_c 37.4780
_cell_angle_alpha 90.00
_cell_angle_beta 90.00
_cell_angle_gamma 120.00
loop_
_atom_site_label
_atom_site_type_symbol
_atom_site_fract_x
_atom_site_fract_y
_atom_site_fract_z
_atom_site_occupancy
Pm1 Pm 0.0000 0.0000 0.0943 1
Eu1 Eu 0.0000 0.0000 0.0000 1
Mg1 Mg 0.0000 0.0000 0.5000 1

***

ii.
# Pm2EuMg (PBE, relaxed)
# total magnetic moment = 28.52 μB per cell
data_Pm2EuMg
_symmetry_space_group_name_H-M 'F m -3 m'
_symmetry_Int_Tables_number 225
_symmetry_space_group_name_Hall '-F 4 2 3'
_cell_length_a 8.041
_cell_length_b 8.041
_cell_length_c 8.041
_cell_angle_alpha 90.00
_cell_angle_beta 90.00
_cell_angle_gamma 90.00
loop_
_atom_site_label
_atom_site_type_symbol
_atom_site_fract_x
_atom_site_fract_y
_atom_site_fract_z
_atom_site_occupancy
Pm1 Pm 0.250 0.250 0.250 1
Eu1 Eu 0.000 0.000 0.000 1
Mg1 Mg 0.000 0.000 0.500 1

***

Pick ii: it beats the second-best structure by 133 meV/atom.

***

i.
# PmEuMg (PBE, relaxed)
# total magnetic moment = 7.30 μB per cell
data_PmEuMg
_symmetry_space_group_name_H-M 'P 3 m 1'
_symmetry_Int_Tables_number 156
_symmetry_space_group_name_Hall 'P 3 -2"'
_cell_length_a 5.6580
_cell_length_b 5.6580
_cell_length_c 3.4719
_cell_angle_alpha 90.00
_cell_angle_beta 90.00
_cell_angle_gamma 120.00
loop_
_atom_site_label
_atom_site_type_symbol
_atom_site_fract_x
_atom_site_fract_y
_atom_site_fract_z
_atom_site_occupancy
Pm1 Pm 0.0000 0.0000 0.0000 1
Eu1 Eu 0.6667 0.3333 0.3920 1
Mg1 Mg 0.3333 0.6667 0.6726 1

***

ii.
# PmEuMg (PBE, relaxed)
# total magnetic moment = 14.65 μB per cell
data_PmEuMg
_symmetry_space_group_name_H-M 'I 4 m m'
_symmetry_Int_Tables_number 107
_symmetry_space_group_name_Hall 'I 4 -2'
_cell_length_a 3.855
_cell_length_b 3.855
_cell_length_c 13.306
_cell_angle_alpha 90.00
_cell_angle_beta 90.00
_cell_angle_gamma 90.00
loop_
_atom_site_label
_atom_site_type_symbol
_atom_site_fract_x
_atom_site_fract_y
_atom_site_fract_z
_atom_site_occupancy
Pm1 Pm 0.000 0.000 0.000 1
Eu1 Eu 0.000 0.000 0.699 1
Mg1 Mg 0.000 0.000 0.358 1

***

Pick ii: it beats the second-best structure by 77 meV/atom.

***

i.
# PmEu2Mg (PBE, relaxed)
# total magnetic moment = 15.49 μB per cell
data_PmEu2Mg
_symmetry_space_group_name_H-M 'P 4/m m m'
_symmetry_Int_Tables_number 123
_symmetry_space_group_name_Hall '-P 4 2'
_cell_length_a 5.141
_cell_length_b 5.141
_cell_length_c 5.231
_cell_angle_alpha 90.00
_cell_angle_beta 90.00
_cell_angle_gamma 90.00
loop_
_atom_site_label
_atom_site_type_symbol
_atom_site_fract_x
_atom_site_fract_y
_atom_site_fract_z
_atom_site_occupancy
Pm1 Pm 0.000 0.000 0.000 1
Eu1 Eu 0.000 0.500 0.500 1
Mg1 Mg 0.500 0.500 0.000 1

***

ii.
# PmEu2Mg (PBE, relaxed)
# total magnetic moment = 14.74 μB per cell
data_PmEu2Mg
_symmetry_space_group_name_H-M 'P 4/m m m'
_symmetry_Int_Tables_number 123
_symmetry_space_group_name_Hall '-P 4 2'
_cell_length_a 3.724
_cell_length_b 3.724
_cell_length_c 10.065
_cell_angle_alpha 90.00
_cell_angle_beta 90.00
_cell_angle_gamma 90.00
loop_
_atom_site_label
_atom_site_type_symbol
_atom_site_fract_x
_atom_site_fract_y
_atom_site_fract_z
_atom_site_occupancy
Pm1 Pm 0.000 0.000 0.000 1
Eu1 Eu 0.500 0.500 0.271 1
Mg1 Mg 0.000 0.000 0.500 1

***

iii.
# PmEu2Mg (PBE, relaxed)
# total magnetic moment = 58.80 μB per cell
data_PmEu2Mg
_symmetry_space_group_name_H-M 'F m -3 m'
_symmetry_Int_Tables_number 225
_symmetry_space_group_name_Hall '-F 4 2 3'
_cell_length_a 8.205
_cell_length_b 8.205
_cell_length_c 8.205
_cell_angle_alpha 90.00
_cell_angle_beta 90.00
_cell_angle_gamma 90.00
loop_
_atom_site_label
_atom_site_type_symbol
_atom_site_fract_x
_atom_site_fract_y
_atom_site_fract_z
_atom_site_occupancy
Pm1 Pm 0.000 0.000 0.000 1
Eu1 Eu 0.250 0.250 0.250 1
Mg1 Mg 0.000 0.000 0.500 1

***

Pick ii: it beats the second-best structure by 38 meV/atom.

***

i.
# PrEuMg (PBE, relaxed)
# total magnetic moment = 7.33 μB per cell
data_PrEuMg
_symmetry_space_group_name_H-M 'P 3 m 1'
_symmetry_Int_Tables_number 156
_symmetry_space_group_name_Hall 'P 3 -2"'
_cell_length_a 5.6912
_cell_length_b 5.6912
_cell_length_c 3.5092
_cell_angle_alpha 90.00
_cell_angle_beta 90.00
_cell_angle_gamma 120.00
loop_
_atom_site_label
_atom_site_type_symbol
_atom_site_fract_x
_atom_site_fract_y
_atom_site_fract_z
_atom_site_occupancy
Pr1 Pr 0.0000 0.0000 0.0000 1
Eu1 Eu 0.3333 0.6667 0.3960 1
Mg1 Mg 0.6667 0.3333 0.6654 1

***

ii.
# PrEuMg (PBE, relaxed)
# total magnetic moment = 14.67 μB per cell
data_PrEuMg
_symmetry_space_group_name_H-M 'I 4 m m'
_symmetry_Int_Tables_number 107
_symmetry_space_group_name_Hall 'I 4 -2'
_cell_length_a 3.893
_cell_length_b 3.893
_cell_length_c 13.343
_cell_angle_alpha 90.00
_cell_angle_beta 90.00
_cell_angle_gamma 90.00
loop_
_atom_site_label
_atom_site_type_symbol
_atom_site_fract_x
_atom_site_fract_y
_atom_site_fract_z
_atom_site_occupancy
Pr1 Pr 0.000 0.000 0.000 1
Eu1 Eu 0.000 0.000 0.699 1
Mg1 Mg 0.000 0.000 0.356 1

***

Pick ii: it beats the second-best structure by 76 meV/atom.